4
Lattice="0.0000 3.2790 3.2790 3.2790 0.0000 3.2790 3.2790 3.2790 0.0000" Properties=species:S:1:pos:R:3 comment="PBE InMo2Au, relaxed" formation_enthalpy_0k_ev_per_atom=0.437 sg="F-43m, No. 216" e_tot_ry_per_atom=-0.47643 vol_a3_per_atom=17.63 n_ef_per_ev_fu=4.45 pbc="T T T"
In 0.0000 0.0000 0.0000
Mo 1.6395 1.6395 1.6395
Mo 3.2790 3.2790 3.2790
Au 4.9186 4.9186 4.9186